# 1
{
  "formula": "Zr2ScPb",
  "functional": "PBE-GGA",
  "state": "relaxed",
  "cell": [[3.862, 0.000, 0.000], [0.000, 3.862, 0.000], [0.000, 0.000, 6.278]],
  "species": ["Zr", "Zr", "Sc", "Pb"],
  "fractional_positions": [[0.000, 0.000, 0.249], [0.000, 0.000, 0.751], [0.500, 0.500, 0.500], [0.500, 0.500, 0.000]],
  "spacegroup": "No. 123",
  "ef_kj_per_mol_atoms": -12
}

# 2
{
  "formula": "KSiPb2",
  "functional": "PBE-GGA",
  "state": "relaxed",
  "cell": [[4.046, 0.000, 0.000], [0.000, 4.046, 0.000], [0.000, 0.000, 7.732]],
  "species": ["K", "Si", "Pb", "Pb"],
  "fractional_positions": [[0.000, 0.000, 0.000], [0.500, 0.500, 0.685], [0.000, 0.000, 0.556], [0.500, 0.500, 0.324]],
  "e_form_raw_ev_per_atom": 0.127,
  "spacegroup": "No. 99"
}

# 3
{
  "formula": "AsIrRh2",
  "functional": "PBE-GGA",
  "state": "relaxed",
  "cell": [[2.812, 0.000, 0.000], [0.000, 4.584, 0.000], [0.000, 0.000, 4.598]],
  "species": ["As", "Ir", "Rh", "Rh"],
  "fractional_positions": [[0.000, 0.000, 0.000], [0.500, 0.000, 0.500], [0.000, 0.500, 0.500], [0.500, 0.500, 0.000]],
  "spacegroup": "No. 47",
  "ef_kj_per_mol_atoms": 12
}

# 4
{
  "formula": "La4Pm4Tl",
  "functional": "PBE-GGA",
  "state": "relaxed",
  "cell": [[-5.528, 5.528, 2.522], [5.528, -5.528, 2.522], [5.528, 5.528, -2.522]],
  "species": ["La", "La", "La", "La", "Pm", "Pm", "Pm", "Pm", "Tl"],
  "fractional_positions": [[0.160, 0.160, 0.321], [0.160, 0.840, 0.000], [0.840, 0.160, 0.000], [0.840, 0.840, 0.679], [0.164, 0.500, 0.664], [0.500, 0.164, 0.664], [0.500, 0.836, 0.336], [0.836, 0.500, 0.336], [0.500, 0.500, 0.000]],
  "spacegroup": "No. 139",
  "ef_kj_per_mol_atoms": -5
}

# 5
{
  "formula": "TbGa2I5",
  "functional": "PBE-GGA",
  "state": "relaxed",
  "cell": [[7.898, -4.093, 0.000], [7.898, 4.093, 0.000], [-4.466, 0.000, 10.645]],
  "species": ["Tb", "Tb", "Ga", "Ga", "Ga", "Ga", "I", "I", "I", "I", "I", "I", "I", "I", "I", "I"],
  "fractional_positions": [[0.000, 0.000, 0.000], [0.000, 0.000, 0.500], [0.365, 0.415, 0.794], [0.415, 0.365, 0.294], [0.585, 0.635, 0.706], [0.635, 0.585, 0.206], [0.028, 0.343, 0.138], [0.149, 0.851, 0.250], [0.220, 0.599, 0.539], [0.343, 0.028, 0.638], [0.401, 0.780, 0.961], [0.599, 0.220, 0.039], [0.657, 0.972, 0.362], [0.780, 0.401, 0.461], [0.851, 0.149, 0.750], [0.972, 0.657, 0.862]],
  "e_form_raw_ev_per_atom": -0.855,
  "spacegroup": "No. 15"
}

# 6
{
  "formula": "NpInSe3",
  "functional": "PBE-GGA",
  "state": "relaxed",
  "cell": [[8.776, -2.161, 0.000], [8.776, 2.161, 0.000], [-2.368, 0.000, 7.200]],
  "species": ["Np", "Np", "In", "In", "Se", "Se", "Se", "Se", "Se", "Se"],
  "fractional_positions": [[0.225, 0.225, 0.240], [0.775, 0.775, 0.760], [0.478, 0.478, 0.302], [0.522, 0.522, 0.698], [0.045, 0.045, 0.172], [0.174, 0.174, 0.568], [0.338, 0.338, 0.024], [0.662, 0.662, 0.976], [0.826, 0.826, 0.432], [0.955, 0.955, 0.828]],
  "e_form_raw_ev_per_atom": -0.769,
  "spacegroup": "No. 12"
}

# 7
{
  "formula": "Sr2Ge4Pd3Pt",
  "functional": "PBE-GGA",
  "state": "relaxed",
  "cell": [[4.396, 0.000, 0.000], [0.000, 4.396, 0.000], [0.000, 0.000, 10.462]],
  "species": ["Sr", "Sr", "Ge", "Ge", "Ge", "Ge", "Pd", "Pd", "Pd", "Pt"],
  "fractional_positions": [[0.000, 0.500, 0.247], [0.500, 0.000, 0.753], [0.000, 0.000, 0.000], [0.000, 0.500, 0.625], [0.500, 0.000, 0.375], [0.500, 0.500, 0.000], [0.000, 0.500, 0.870], [0.500, 0.000, 0.130], [0.500, 0.500, 0.500], [0.000, 0.000, 0.500]],
  "spacegroup": "No. 115",
  "ef_kj_per_mol_atoms": -70
}

# 8
{
  "formula": "Hf2Be2Ir",
  "functional": "PBE-GGA",
  "state": "relaxed",
  "cell": [[6.406, 0.000, 0.000], [0.000, 6.406, 0.000], [0.000, 0.000, 3.532]],
  "species": ["Hf", "Hf", "Hf", "Hf", "Be", "Be", "Be", "Be", "Ir", "Ir"],
  "fractional_positions": [[0.178, 0.322, 0.000], [0.322, 0.822, 0.000], [0.678, 0.178, 0.000], [0.822, 0.678, 0.000], [0.120, 0.620, 0.500], [0.380, 0.120, 0.500], [0.620, 0.880, 0.500], [0.880, 0.380, 0.500], [0.000, 0.000, 0.500], [0.500, 0.500, 0.500]],
  "spacegroup": "No. 127",
  "ef_kj_per_mol_atoms": -56
}

# 9
{
  "formula": "Mg3Cd3Bi",
  "functional": "PBE-GGA",
  "state": "relaxed",
  "cell": [[3.724, 2.150, 8.157], [-3.724, 2.150, 8.157], [0.000, -4.300, 8.157]],
  "species": ["Mg", "Mg", "Mg", "Mg", "Mg", "Mg", "Cd", "Cd", "Cd", "Cd", "Cd", "Cd", "Bi", "Bi"],
  "fractional_positions": [[0.008, 0.700, 0.513], [0.300, 0.487, 0.992], [0.487, 0.992, 0.300], [0.513, 0.008, 0.700], [0.700, 0.513, 0.008], [0.992, 0.300, 0.487], [0.127, 0.829, 0.642], [0.171, 0.358, 0.873], [0.358, 0.873, 0.171], [0.642, 0.127, 0.829], [0.829, 0.642, 0.127], [0.873, 0.171, 0.358], [0.357, 0.357, 0.357], [0.643, 0.643, 0.643]],
  "spacegroup": "No. 148",
  "ef_kj_per_mol_atoms": 0
}

# 10
{
  "formula": "ReMoIr",
  "functional": "PBE-GGA",
  "state": "relaxed",
  "cell": [[2.747, 0.000, 0.000], [-1.373, 2.379, 0.000], [0.000, 0.000, 6.935]],
  "species": ["Re", "Mo", "Ir"],
  "fractional_positions": [[0.000, 0.000, 0.000], [0.667, 0.333, 0.659], [0.333, 0.667, 0.327]],
  "spacegroup": "No. 156",
  "ef_kj_per_mol_atoms": 1
}

# 11
{
  "formula": "ReS2Br",
  "functional": "PBE-GGA",
  "state": "relaxed",
  "cell": [[0.000, 3.170, 3.170], [3.170, 0.000, 3.170], [3.170, 3.170, 0.000]],
  "species": ["Re", "S", "S", "Br"],
  "fractional_positions": [[0.000, 0.000, 0.000], [0.250, 0.250, 0.250], [0.750, 0.750, 0.750], [0.500, 0.500, 0.500]],
  "e_form_raw_ev_per_atom": 1.070,
  "spacegroup": "No. 225"
}

# 12
{
  "formula": "Al3Pd5O12",
  "functional": "PBE-GGA",
  "state": "relaxed",
  "cell": [[-6.294, 6.294, 6.294], [6.294, -6.294, 6.294], [6.294, 6.294, -6.294]],
  "species": ["Al", "Al", "Al", "Al", "Al", "Al", "Al", "Al", "Al", "Al", "Al", "Al", "Pd", "Pd", "Pd", "Pd", "Pd", "Pd", "Pd", "Pd", "Pd", "Pd", "Pd", "Pd", "Pd", "Pd", "Pd", "Pd", "Pd", "Pd", "Pd", "Pd", "O", "O", "O", "O", "O", "O", "O", "O", "O", "O", "O", "O", "O", "O", "O", "O", "O", "O", "O", "O", "O", "O", "O", "O", "O", "O", "O", "O", "O", "O", "O", "O", "O", "O", "O", "O", "O", "O", "O", "O", "O", "O", "O", "O", "O", "O", "O", "O"],
  "fractional_positions": [[0.125, 0.250, 0.375], [0.125, 0.375, 0.750], [0.250, 0.375, 0.125], [0.250, 0.875, 0.625], [0.375, 0.125, 0.250], [0.375, 0.750, 0.125], [0.625, 0.250, 0.875], [0.625, 0.875, 0.750], [0.750, 0.125, 0.375], [0.750, 0.625, 0.875], [0.875, 0.625, 0.250], [0.875, 0.750, 0.625], [0.000, 0.000, 0.000], [0.000, 0.000, 0.500], [0.000, 0.500, 0.000], [0.000, 0.500, 0.500], [0.125, 0.750, 0.875], [0.125, 0.875, 0.250], [0.250, 0.125, 0.875], [0.250, 0.625, 0.375], [0.375, 0.250, 0.625], [0.375, 0.625, 0.750], [0.500, 0.000, 0.000], [0.500, 0.000, 0.500], [0.500, 0.500, 0.000], [0.500, 0.500, 0.500], [0.625, 0.375, 0.250], [0.625, 0.750, 0.375], [0.750, 0.375, 0.625], [0.750, 0.875, 0.125], [0.875, 0.125, 0.750], [0.875, 0.250, 0.125], [0.008, 0.147, 0.173], [0.008, 0.360, 0.834], [0.026, 0.173, 0.666], [0.026, 0.353, 0.360], [0.140, 0.147, 0.474], [0.140, 0.492, 0.666], [0.147, 0.173, 0.008], [0.147, 0.474, 0.140], [0.166, 0.673, 0.526], [0.166, 0.992, 0.640], [0.173, 0.008, 0.147], [0.173, 0.666, 0.026], [0.327, 0.353, 0.492], [0.327, 0.474, 0.834], [0.334, 0.860, 0.508], [0.334, 0.974, 0.827], [0.353, 0.360, 0.026], [0.353, 0.492, 0.327], [0.360, 0.026, 0.353], [0.360, 0.834, 0.008], [0.474, 0.140, 0.147], [0.474, 0.834, 0.327], [0.492, 0.327, 0.353], [0.492, 0.666, 0.140], [0.508, 0.334, 0.860], [0.508, 0.673, 0.647], [0.526, 0.166, 0.673], [0.526, 0.860, 0.853], [0.640, 0.166, 0.992], [0.640, 0.974, 0.647], [0.647, 0.508, 0.673], [0.647, 0.640, 0.974], [0.666, 0.026, 0.173], [0.666, 0.140, 0.492], [0.673, 0.526, 0.166], [0.673, 0.647, 0.508], [0.827, 0.334, 0.974], [0.827, 0.992, 0.853], [0.834, 0.008, 0.360], [0.834, 0.327, 0.474], [0.853, 0.526, 0.860], [0.853, 0.827, 0.992], [0.860, 0.508, 0.334], [0.860, 0.853, 0.526], [0.974, 0.647, 0.640], [0.974, 0.827, 0.334], [0.992, 0.640, 0.166], [0.992, 0.853, 0.827]],
  "e_form_raw_ev_per_atom": -0.979,
  "spacegroup": "No. 230"
}

# 13
{
  "formula": "Fe3Ag",
  "functional": "PBE-GGA",
  "state": "relaxed",
  "cell": [[4.331, 0.000, 0.000], [0.000, 5.298, 0.000], [0.000, 0.000, 4.724]],
  "species": ["Fe", "Fe", "Fe", "Fe", "Fe", "Fe", "Ag", "Ag"],
  "fractional_positions": [[0.250, 0.002, 0.147], [0.250, 0.250, 0.710], [0.250, 0.498, 0.147], [0.750, 0.502, 0.853], [0.750, 0.750, 0.290], [0.750, 0.998, 0.853], [0.250, 0.750, 0.642], [0.750, 0.250, 0.358]],
  "spacegroup": "No. 59",
  "ef_kj_per_mol_atoms": 33
}

# 14
{
  "formula": "MgSn2Ir",
  "functional": "PBE-GGA",
  "state": "relaxed",
  "cell": [[1.764, 1.019, 9.280], [-1.764, 1.019, 9.280], [0.000, -2.037, 9.280]],
  "species": ["Mg", "Sn", "Sn", "Ir"],
  "fractional_positions": [[0.000, 0.000, 0.000], [0.103, 0.103, 0.103], [0.897, 0.897, 0.897], [0.500, 0.500, 0.500]],
  "spacegroup": "No. 166",
  "ef_kj_per_mol_atoms": 6
}

# 15
{
  "formula": "CaTa2Os",
  "functional": "PBE-GGA",
  "state": "relaxed",
  "cell": [[-1.595, 2.435, 4.883], [1.595, -2.435, 4.883], [1.595, 2.435, -4.883]],
  "species": ["Ca", "Ta", "Ta", "Os"],
  "fractional_positions": [[0.000, 0.000, 0.000], [0.459, 0.459, 0.000], [0.723, 0.223, 0.500], [0.250, 0.750, 0.500]],
  "spacegroup": "No. 44",
  "ef_kj_per_mol_atoms": 38
}

# 16
{
  "formula": "Pr5Tl2Ru",
  "functional": "PBE-GGA",
  "state": "relaxed",
  "cell": [[-3.654, 3.654, 4.584], [3.654, -3.654, 4.584], [3.654, 3.654, -4.584]],
  "species": ["Pr", "Pr", "Pr", "Pr", "Pr", "Tl", "Tl", "Ru"],
  "fractional_positions": [[0.000, 0.000, 0.000], [0.481, 0.481, 0.504], [0.481, 0.977, 0.000], [0.977, 0.481, 0.000], [0.977, 0.977, 0.496], [0.474, 0.974, 0.500], [0.974, 0.474, 0.500], [0.348, 0.348, 0.000]],
  "spacegroup": "No. 107",
  "ef_kj_per_mol_atoms": -12
}

Number 1: calculated density 7.7 g/cm³, M_tot 0.000 μB/atom, DOS(E_F) 3.1 states/eV/f.u.. Number 2: calculated density 6.3 g/cm³, M_tot 0.000 μB/atom, DOS(E_F) 1.4 states/eV/f.u.. Number 3: calculated density 13.2 g/cm³, M_tot 0.000 μB/atom, DOS(E_F) 4.8 states/eV/f.u.. Number 4: calculated density 7.2 g/cm³, M_tot 0.000 μB/atom, DOS(E_F) 13.9 states/eV/f.u.. Number 5: calculated density 4.5 g/cm³, M_tot 0.000 μB/atom, DOS(E_F) 0.0 states/eV/f.u.. Number 6: calculated density 7.2 g/cm³, M_tot 0.778 μB/atom, DOS(E_F) 9.9 states/eV/f.u.. Number 7: calculated density 8.1 g/cm³, M_tot 0.000 μB/atom, DOS(E_F) 4.6 states/eV/f.u.. Number 8: calculated density 13.0 g/cm³, M_tot 0.000 μB/atom, DOS(E_F) 3.4 states/eV/f.u.. Number 9: calculated density 5.2 g/cm³, M_tot 0.000 μB/atom, DOS(E_F) 2.7 states/eV/f.u.. Number 10: calculated density 17.4 g/cm³, M_tot 0.000 μB/atom, DOS(E_F) 3.6 states/eV/f.u.. Number 11: calculated density 8.6 g/cm³, M_tot 0.199 μB/atom, DOS(E_F) 3.5 states/eV/f.u.. Number 12: calculated density 5.4 g/cm³, M_tot 0.254 μB/atom, DOS(E_F) 12.9 states/eV/f.u.. Number 13: calculated density 8.4 g/cm³, M_tot 1.969 μB/atom, DOS(E_F) 3.2 states/eV/f.u.. Number 14: calculated density 7.5 g/cm³, M_tot 0.000 μB/atom, DOS(E_F) 3.1 states/eV/f.u.. Number 15: calculated density 13.0 g/cm³, M_tot 0.000 μB/atom, DOS(E_F) 3.4 states/eV/f.u.. Number 16: calculated density 8.2 g/cm³, M_tot 0.000 μB/atom, DOS(E_F) 7.3 states/eV/f.u..